Entry from Alexandria: a relaxed Ti3ReTc3 crystal (PBE).

a b c (Å): 6.089 6.089 6.006
angles (deg): 90.00 90.00 90.28
Positions (direct):
Ti  0.000  0.000  0.247
Ti  0.000  0.000  0.753
Ti  0.000  0.500  0.247
Ti  0.000  0.500  0.753
Ti  0.500  0.000  0.247
Ti  0.500  0.000  0.753
Re  0.249  0.751  0.500
Re  0.751  0.249  0.500
Tc  0.244  0.244  0.000
Tc  0.293  0.707  0.000
Tc  0.313  0.313  0.500
Tc  0.687  0.687  0.500
Tc  0.707  0.293  0.000
Tc  0.756  0.756  0.000

* V: 15.9 A^3/atom
* DFT total energy: -9.551 eV per atom
* theoretical density: 9.30 g cm⁻³